ErCd: optimized geometry, PBEsol.

```
data_ErCd
_symmetry_space_group_name_H-M 'P m -3 m'
_symmetry_Int_Tables_number 221
_symmetry_space_group_name_Hall '-P 4 2 3'
_cell_length_a 3.644
_cell_length_b 3.644
_cell_length_c 3.644
_cell_angle_alpha 90.00
_cell_angle_beta 90.00
_cell_angle_gamma 90.00
loop_
_atom_site_label
_atom_site_fract_x
_atom_site_fract_y
_atom_site_fract_z
Er1 0.000 0.000 0.000
Cd1 0.500 0.500 0.500
```

Output
- raw total energy (eV per atom) = -3.404
- DOS at the Fermi energy (states/eV per atom) = 0.969

---

LaReHg2: optimized geometry, PBEsol.

```
data_LaReHg2
_symmetry_space_group_name_H-M 'I 4/m m m'
_symmetry_Int_Tables_number 139
_symmetry_space_group_name_Hall '-I 4 2'
_cell_length_a 4.313
_cell_length_b 4.313
_cell_length_c 9.093
_cell_angle_alpha 90.00
_cell_angle_beta 90.00
_cell_angle_gamma 90.00
loop_
_atom_site_label
_atom_site_fract_x
_atom_site_fract_y
_atom_site_fract_z
La1 0.000 0.000 0.000
Re1 0.000 0.000 0.500
Hg1 0.000 0.500 0.250
```

Output
- energy above the lowest structure with this stoichiometry (eV per atom) = 0.000
- raw total energy (eV per atom) = -4.642
- DOS at the Fermi energy (states/eV per atom) = 0.943

---

TiZnOs3: optimized geometry, PBEsol.

```
data_TiZnOs3
_symmetry_space_group_name_H-M 'P m -3 m'
_symmetry_Int_Tables_number 221
_symmetry_space_group_name_Hall '-P 4 2 3'
_cell_length_a 4.489
_cell_length_b 4.489
_cell_length_c 4.489
_cell_angle_alpha 90.00
_cell_angle_beta 90.00
_cell_angle_gamma 90.00
loop_
_atom_site_label
_atom_site_fract_x
_atom_site_fract_y
_atom_site_fract_z
Ti1 0.000 0.000 0.000
Zn1 0.500 0.500 0.500
Os1 0.000 0.000 0.500
```

Output
- raw total energy (eV per atom) = -7.384
- DOS at the Fermi energy (states/eV per atom) = 1.267

---

Cu2AgSe: optimized geometry, PBEsol.

```
data_Cu2AgSe
_symmetry_space_group_name_H-M 'P 4/m m m'
_symmetry_Int_Tables_number 123
_symmetry_space_group_name_Hall '-P 4 2'
_cell_length_a 3.274
_cell_length_b 3.274
_cell_length_c 5.420
_cell_angle_alpha 90.00
_cell_angle_beta 90.00
_cell_angle_gamma 90.00
loop_
_atom_site_label
_atom_site_fract_x
_atom_site_fract_y
_atom_site_fract_z
Cu1 0.000 0.000 0.243
Ag1 0.500 0.500 0.500
Se1 0.500 0.500 0.000
```

Output
- raw total energy (eV per atom) = -3.831
- DOS at the Fermi energy (states/eV per atom) = 0.390
- formation energy without anion corrections (eV/atom) = 0.13